No. 1
A geometry-optimized VBiOsPt2 structure. Source: Alexandria via LeMat-Bulk, functional PBE.

The calculation puts the formation energy at 1.4732 eV/atom. Its crystal system is tetragonal. The calculation puts the total energy at -5.789 eV/atom. The value obtained for the volume is 21.2 Å³/atom. As for the spin magnetization: 0.30 μB per atom.

abc: 4.588 4.588 5.035
angles: 90.00 90.00 90.00
Last column: magnetic moment on the atom in μB.
Positions (direct):
1 Os 0.500 0.500 0.500  1.47
2 Bi 0.000 0.000 0.500  -0.03
3 Pt 0.000 0.500 0.000  -0.02
4 Pt 0.500 0.000 0.000  -0.02
5 V 0.000 0.000 0.000  0.01



No. 2
A geometry-optimized Ca2P3Pd structure. Source: Alexandria via LeMat-Bulk, functional PBE.

The calculation puts the formation energy at -0.8389 eV/atom. Its crystal system is orthorhombic. The calculation puts the total energy at -5.076 eV/atom. The value obtained for the volume is 20.1 Å³/atom. As for the spin magnetization: 0.00 μB per atom.

abc: 6.058 6.058 7.792
angles: 111.37 111.37 93.59
Positions (direct):
1 Ca 0.250 0.750 0.500
2 Ca 0.754 0.754 0.000
3 Ca 0.750 0.250 0.500
4 Ca 0.246 0.246 0.000
5 P 0.646 0.187 0.833
6 P 0.813 0.354 0.167
7 P 0.354 0.813 0.167
8 P 0.187 0.646 0.833
9 P 0.854 0.854 0.708
10 P 0.146 0.146 0.292
11 Pd 0.324 0.324 0.649
12 Pd 0.676 0.676 0.351



Question: The lowest spin magnetization belongs to which entry?
Answer: Ca2P3Pd